No. 1
Material: KMn2HgCl
Method: DFT, PBE
State: relaxed

```
KMn2HgCl
1.0
4.676 0.000 0.000
0.000 4.676 0.000
0.000 0.000 6.591
K Mn Hg Cl
1 2 1 1
Cartesian
0.000 0.000 0.000
0.000 2.338 3.296
2.338 0.000 3.296
2.338 2.338 0.000
2.338 2.338 3.296
```

raw formation energy	0.5329	eV per atom
SG	P4/mmm

No. 2
Material: KMnHg2Cl8
Method: DFT, PBE
State: relaxed

```
KMnHg2Cl8
1.0
6.531 0.000 0.000
-1.059 7.095 0.000
-0.749 -3.278 8.174
K Mn Hg Cl
1 1 2 8
Cartesian
0.000 0.000 0.000
-0.374 -1.639 4.087
2.296 4.322 1.715
2.426 -0.505 6.459
-0.191 4.658 1.850
-0.149 4.112 5.356
1.131 0.136 4.370
2.554 1.816 0.565
2.168 2.000 7.609
3.591 3.681 3.804
4.871 -0.296 2.818
4.914 -0.841 6.323
```

raw formation energy	-0.9410	eV per atom
SG	P-1

No. 3
Material: K3Mn2HgCl9
Method: DFT, PBE
State: relaxed

```
K3Mn2HgCl9
1.0
7.260 0.000 0.000
-3.630 6.287 0.000
0.000 0.000 8.949
K Mn Hg Cl
3 2 1 9
Cartesian
0.000 0.000 0.000
0.000 4.191 6.039
3.630 2.096 2.910
0.000 4.191 1.434
3.630 2.096 7.515
0.000 0.000 4.474
-1.815 3.143 0.000
0.000 2.162 2.882
-1.758 5.206 2.882
1.872 1.081 6.066
3.630 0.000 0.000
1.815 3.143 0.000
1.758 5.206 2.882
5.387 1.081 6.066
3.630 4.125 6.066
```

raw formation energy	-1.3166	eV per atom
SG	P-3m1

No. 4
Material: K2HgMoCl
Method: DFT, PBE
State: relaxed

```
K2HgMoCl
1.0
6.624 0.000 0.000
0.000 6.624 0.000
0.000 0.000 5.395
K Hg Mo Cl
2 1 1 1
Cartesian
0.000 3.312 0.000
3.312 0.000 0.000
0.000 0.000 2.698
0.000 0.000 0.000
3.312 3.312 2.698
```

raw formation energy	0.4395	eV per atom
SG	P4/mmm

No. 5
Material: KHg2NCl
Method: DFT, PBE
State: relaxed

```
KHg2NCl
1.0
7.640 0.000 0.000
0.000 7.640 0.000
0.000 0.000 5.740
K Hg N Cl
1 2 1 1
Cartesian
0.000 0.000 0.000
0.000 3.820 0.000
3.820 0.000 0.000
3.820 3.820 2.870
0.000 0.000 2.870
```

raw formation energy	0.4805	eV per atom
SG	P4/mmm

No. 6
Material: K2HgNCl
Method: DFT, PBE
State: relaxed

```
K2HgNCl
1.0
5.482 0.000 0.000
0.000 5.482 0.000
0.000 0.000 4.762
K Hg N Cl
2 1 1 1
Cartesian
0.000 2.741 0.000
2.741 0.000 0.000
0.000 0.000 2.381
2.741 2.741 0.000
2.741 2.741 2.381
```

raw formation energy	0.1516	eV per atom
SG	P4/mmm

No. 7
Material: KNaHg2Cl6
Method: DFT, PBE
State: relaxed

```
KNaHg2Cl6
1.0
7.270 0.000 0.000
-3.635 6.298 0.000
-3.633 -2.099 7.118
K Na Hg Cl
1 1 2 6
Cartesian
0.000 0.000 0.000
3.640 2.089 3.560
0.009 -0.005 5.107
0.006 4.196 2.010
-2.449 0.086 5.183
-1.329 2.133 1.902
-2.518 4.104 5.224
2.476 0.060 1.949
1.306 2.076 5.185
2.453 4.077 1.905
```

raw formation energy	-1.0997	eV per atom
SG	P1

No. 8
Material: K2NaHgCl5
Method: DFT, PBE
State: relaxed

```
K2NaHgCl5
1.0
2.138 -8.649 0.000
2.138 8.649 0.000
0.000 0.000 14.445
K Na Hg Cl
4 2 2 10
Cartesian
2.138 7.149 7.223
2.138 6.261 1.751
2.138 -6.261 8.974
2.138 -7.149 0.000
2.138 0.838 4.049
2.138 -0.838 11.272
2.138 4.717 12.428
2.138 -4.717 5.205
2.138 7.313 12.837
2.138 4.064 7.131
2.138 3.567 3.424
2.138 2.164 12.088
2.138 0.085 8.814
2.138 -0.085 1.591
2.138 -2.164 4.865
2.138 -3.567 10.646
2.138 -4.064 14.354
2.138 -7.313 5.614
```

raw formation energy	-1.4495	eV per atom
SG	Cmc2_1

No. 9
Material: KNa2HgCl
Method: DFT, PBE
State: relaxed

```
KNa2HgCl
1.0
5.437 0.000 0.000
0.000 5.437 0.000
0.000 0.000 6.086
K Na Hg Cl
1 2 1 1
Cartesian
0.000 0.000 0.000
0.000 2.718 3.043
2.718 0.000 3.043
2.718 2.718 0.000
0.000 0.000 3.043
```

raw formation energy	-0.6706	eV per atom
SG	P4/mmm

No. 10
Material: KNa3Hg4Cl12
Method: DFT, PBE
State: relaxed

```
KNa3Hg4Cl12
1.0
7.420 4.284 3.496
-7.420 4.284 3.496
0.000 -8.568 3.496
K Na Hg Cl
1 3 4 12
Cartesian
0.000 0.000 0.000
-4.126 -1.422 3.496
3.294 -2.862 3.496
0.831 4.284 3.496
-3.268 -5.660 5.244
0.000 0.000 5.244
-3.268 5.660 5.244
6.536 0.000 5.244
-4.651 -3.641 5.205
-5.842 0.000 5.244
-0.827 -5.848 5.283
-4.651 3.641 5.283
-2.443 0.000 5.244
2.921 -5.059 5.244
1.221 -2.116 5.244
1.221 2.116 5.244
-0.827 5.848 5.205
5.479 -2.208 5.205
2.921 5.059 5.244
5.479 2.208 5.283
```

raw formation energy	-1.0575	eV per atom
SG	R32